ZrNiPd2 | PBE | optimized geometry

Values from the calculation:
Calculated volume ... 271 Å³/cell
DFT total energy ... -6.405 eV/atom

Unit cell a=3.8508 b=3.8508 c=18.2417 alpha=90.00 beta=90.00 gamma=90.00
Space group I-42d (No. 122)
One atom of each set of equivalent atoms:
Zr1 0.0000 0.0000 0.0000 x4
Ni1 0.0000 0.0000 0.5000 x4
Pd1 0.2342 0.2500 0.6250 x8

=====

Li2CaNdPb2 | PBE | optimized geometry

Values from the calculation:
Calculated volume ... 157 Å³/cell
DFT total energy ... -3.502 eV/atom

Unit cell a=4.8921 b=4.8921 c=7.5777 alpha=90.00 beta=90.00 gamma=120.00
Space group P-3m1 (No. 164)
One atom of each set of equivalent atoms:
Li1 0.3333 0.6667 0.2396 x2
Ca1 0.0000 0.0000 0.0000 x1
Nd1 0.0000 0.0000 0.5000 x1
Pb1 0.3333 0.6667 0.7372 x2

=====

BaCaTe2 | PBE | optimized geometry

Values from the calculation:
Calculated volume ... 629 Å³/cell
Distance to the lowest polymorph of the same formula ... 47 meV per atom
Raw formation energy ... -1649 meV per atom

Unit cell a=16.9151 b=4.7375 c=8.2549 alpha=90.00 beta=107.97 gamma=90.00
Space group C2 (No. 5)
One atom of each set of equivalent atoms:
Ba1 0.1064 0.0000 0.3209 x4
Ca1 0.1457 0.5009 0.8464 x4
Te1 0.0000 0.4989 0.0000 x2
Te2 0.0000 0.5002 0.5000 x2
Te3 0.2429 0.0006 0.7544 x4

=====

CaAc2La9 | PBE | optimized geometry

Values from the calculation:
Calculated volume ... 461 Å³/cell
DFT total energy ... -4.519 eV/atom

Unit cell a=5.3738 b=5.3738 c=15.9561 alpha=90.00 beta=90.00 gamma=90.00
Space group P4/mmm (No. 123)
One atom of each set of equivalent atoms:
Ca1 0.0000 0.0000 0.0000 x1
Ac1 0.0000 0.0000 0.3322 x2
La1 0.0000 0.5000 0.1687 x4
La2 0.0000 0.5000 0.5000 x2
La3 0.5000 0.5000 0.0000 x1
La4 0.5000 0.5000 0.3307 x2

=====

K2BeAg | PBE | optimized geometry

Values from the calculation:
Calculated volume ... 490 Å³/cell
DFT total energy ... -1.434 eV/atom

Unit cell a=4.6200 b=4.6200 c=26.5297 alpha=90.00 beta=90.00 gamma=120.00
Space group R-3m (No. 166, hexagonal axes)
One atom of each set of equivalent atoms:
K1 0.0000 0.0000 0.2486 x6
Be1 0.0000 0.0000 0.0000 x3
Ag1 0.0000 0.0000 0.5000 x3

=====

Ba2ThReN4 | PBE | optimized geometry

Values from the calculation:
Calculated volume ... 307 Å³/cell
Raw formation energy ... -655 meV per atom

Unit cell a=6.3251 b=6.3251 c=7.6678 alpha=90.00 beta=90.00 gamma=90.00
Space group I-4 (No. 82)
One atom of each set of equivalent atoms:
Ba1 0.0000 0.0000 0.0000 x2
Ba2 0.0000 0.5000 0.2500 x2
Th1 0.0000 0.0000 0.5000 x2
Re1 0.0000 0.5000 0.7500 x2
N1 0.1638 0.7429 0.6727 x8